(1)
MgTaAg2 (PBE, relaxed); magnetization = 0.0 μB/f.u.; SG = Pm
1.0
4.6150 0.0000 0.0000
0.0000 2.8110 0.0129
0.0000 1.3527 5.6091
Ag Mg Ta
2 1 1
direct
0.0000 0.1962 0.9784
0.5000 0.0530 0.2738
0.0000 0.4562 0.4651
0.5000 0.7946 0.7828

(2)
MgTaAg2 (PBE, relaxed); magnetization = 0.0 μB/f.u.; SG = Imm2
1.0
5.8833 0.0024 0.0005
3.0331 5.0412 -0.0005
-3.7268 -3.8149 2.4842
Ag Mg Ta
2 1 1
direct
0.0049 0.0049 0.0000
0.2482 0.7482 0.5000
0.4904 0.4904 0.0000
0.7565 0.2565 0.5000

(3)
MgTaAg (PBE, relaxed); energy above the most stable polymorph in this dataset = 1207 meV/atom; magnetization = 0.0 μB/f.u.; SG = F-43m
1.0
0.0000 3.1547 3.1547
3.1547 0.0000 3.1547
3.1547 3.1547 0.0000
Mg Ag Ta
1 1 1
direct
0.0000 0.0000 0.0000
0.7500 0.7500 0.7500
0.2500 0.2500 0.2500

(4)
MgTaAg (PBE, relaxed); energy above the most stable polymorph in this dataset = 56 meV/atom; magnetization = 0.0 μB/f.u.; SG = Pmm2
1.0
3.0153 0.0064 -0.0018
2.9869 10.3638 -0.0754
0.0049 -1.4284 3.6073
Mg Ag Ta
2 2 2
direct
0.4506 0.2128 0.4638
0.7814 0.8826 0.1338
0.7944 0.3693 0.1204
0.1277 0.0363 0.7876
0.1132 0.5499 0.8010
0.4659 0.6979 0.4491

(5)
MgTaAg2 (PBE, relaxed); magnetization = 0.0 μB/f.u.; SG = Cm
1.0
5.1100 0.0051 0.0065
4.3226 2.7255 0.0065
0.7829 0.2266 5.2157
Ag Mg Ta
2 1 1
direct
0.0031 0.0031 0.0219
0.7475 0.7475 0.7263
0.4956 0.4956 0.5292
0.2538 0.2538 0.2226

(6)
MgTaAg2 (PBE, relaxed); magnetization = 0.0 μB/f.u.; SG = P4/mmm
1.0
5.0114 0.0000 0.0000
0.0000 5.0114 0.0000
0.0000 0.0000 2.8951
Ag Mg Ta
2 1 1
direct
0.0000 0.0000 0.0000
0.5000 0.5000 0.0000
0.5000 0.0000 0.5000
0.0000 0.5000 0.5000

(7)
MgTaAg (PBE, relaxed); energy above the most stable polymorph in this dataset = 66 meV/atom; magnetization = 0.0 μB/f.u.; SG = Pmmn
1.0
3.0512 -0.0001 -0.0001
-0.0001 3.9753 0.0000
0.0019 -0.0001 9.3042
Mg Ag Ta
2 2 2
direct
0.7816 0.9747 0.7029
0.2811 0.4749 0.2323
0.2812 0.4747 0.5582
0.7808 0.9748 0.3770
0.7810 0.9748 0.0375
0.2812 0.4748 0.8977

(8)
Mg2TaTcAg (PBE, relaxed); magnetization = 1.2 μB/f.u.; SG = P4/mmm
1.0
-3.0824 1.6748 3.2241
1.5065 -3.4719 3.2439
3.3356 2.9803 1.6408
Mg Tc Ag Ta
2 1 1 1
direct
0.0000 0.0000 0.5000
0.5000 0.0000 0.0000
0.0000 0.0000 0.0000
0.0000 0.5000 0.0000
0.5000 0.5000 0.5000

(9)
MgTa2TiAg (PBE, relaxed); magnetization = 2.0 μB/f.u.; SG = P4/mmm
1.0
4.8229 0.0000 0.0000
0.0000 4.5318 0.0000
0.0000 0.0000 4.8229
Mg Ti Ag Ta
1 1 1 2
direct
0.0000 0.0000 0.0000
0.5000 0.5000 0.5000
0.0000 0.5000 0.0000
0.0000 0.0000 0.5000
0.5000 0.0000 0.0000

(10)
Mg2TaZnAg (PBE, relaxed); magnetization = 1.2 μB/f.u.; SG = P4/mmm
1.0
-3.7472 -0.5448 2.8397
1.8236 -3.9954 1.6399
2.2296 2.4154 3.4055
Zn Mg Ag Ta
1 2 1 1
direct
0.0000 0.0000 0.0000
0.0000 0.0000 0.5000
0.5000 0.0000 0.0000
0.0000 0.5000 0.0000
0.5000 0.5000 0.5000

(11)
Tb2Mg5Ag4 (PBE, relaxed); magnetization = 0.0 μB/f.u.; SG = Fmmm
1.0
5.8985 0.0000 0.0000
2.9493 6.0627 0.0000
2.9493 0.0000 7.3765
Tb Mg Ag
2 5 4
direct
0.8405 0.0000 0.3190
0.1595 0.0000 0.6810
0.5000 0.0000 0.0000
0.0000 0.5000 0.0000
0.5000 0.5000 0.0000
0.2500 0.5000 0.5000
0.7500 0.5000 0.5000
0.5265 0.2376 0.7094
0.4735 0.7624 0.2906
0.2359 0.2376 0.2906
0.7641 0.7624 0.7094

(12)
TbMg6Ag6 (PBE, relaxed); magnetization = 0.0 μB/f.u.; SG = Immm
1.0
-1.4296 -2.0323 5.0585
5.8470 -2.6001 3.7474
0.5489 5.1086 5.3471
Tb Mg Ag
1 6 6
direct
0.0000 0.0000 0.0000
0.3456 0.6544 0.6544
0.6544 0.3456 0.3456
0.0000 0.3409 0.6591
0.0000 0.6591 0.3409
0.3096 0.1904 0.1904
0.6904 0.8096 0.8096
0.0000 0.5000 0.0000
0.5000 0.5000 0.0000
0.0000 0.0000 0.5000
0.5000 0.0000 0.5000
0.5000 0.7759 0.2241
0.5000 0.2241 0.7759

| no. | formation energy (eV/atom) |
| --- | --- |
| 1 | 0.23 |
| 2 | 0.29 |
| 3 | 1.26 |
| 4 | 0.11 |
| 5 | 0.26 |
| 6 | 0.24 |
| 7 | 0.12 |
| 8 | 1.60 |
| 9 | 1.65 |
| 10 | 0.95 |
| 11 | -0.08 |
| 12 | -0.18 |